Entry 1:
Below is a relaxed structure of Ba2NdSnTe5, with properties calculated at the PBE-GGA level.

Results
Uncorrected formation energy ... -1243.5 meV/atom

The structure in POSCAR format:
```
Ba2NdSnTe5
1.0
4.798 0.000 0.000
-2.399 10.168 0.000
0.000 0.000 14.169
Ba Nd Sn Te
4 2 2 10
Direct
0.868 0.737 0.814
0.115 0.230 0.683
0.132 0.263 0.314
0.885 0.770 0.183
0.789 0.578 0.519
0.211 0.422 0.019
0.548 0.096 0.948
0.452 0.904 0.448
0.363 0.726 0.001
0.683 0.367 0.866
0.493 0.986 0.760
0.288 0.576 0.666
0.950 0.899 0.567
0.637 0.274 0.501
0.317 0.633 0.366
0.507 0.014 0.260
0.712 0.424 0.166
0.050 0.101 0.067
```

=====

Entry 2:
Below is a relaxed structure of VSbTeN2, with properties calculated at the PBE-GGA level.

Results
Offset from the most stable computed form ... 4.205 eV per formula unit
Uncorrected formation energy ... 1520.5 meV/atom

The structure in POSCAR format:
```
VSbTeN2
1.0
3.982 0.000 0.000
0.000 3.982 0.000
0.000 0.000 6.650
Sb N Te V
1 2 1 1
Direct
0.000 0.000 0.000
0.000 0.500 0.000
0.500 0.000 0.000
0.000 0.000 0.500
0.500 0.500 0.500
```

=====

Entry 3:
Below is a relaxed structure of PmNd14Pb, with properties calculated at the PBE-GGA level.

Results
Formation energy ... -4.6 kJ per mole of atoms

The structure in POSCAR format:
```
PmNd14Pb
1.0
7.226 0.969 0.000
-0.970 7.226 0.000
0.000 0.000 10.311
Pm Nd Pb
1 14 1
Direct
0.875 0.125 0.000
0.375 0.625 0.500
0.875 0.125 0.500
0.875 0.625 0.000
0.875 0.625 0.500
0.375 0.125 0.000
0.375 0.125 0.500
0.622 0.872 0.754
0.622 0.872 0.246
0.128 0.378 0.754
0.128 0.378 0.246
0.128 0.872 0.755
0.128 0.872 0.245
0.622 0.378 0.754
0.622 0.378 0.246
0.375 0.625 0.000
```